A geometry-optimized TiBrNF2 structure, computed with GGA-PBE.

a b c (Å): 4.8447 4.8447 3.7102
angles (deg): 90.00 90.00 90.00
Fractional coordinates of all 5 atoms:
Ti 0.0000 0.0000 0.0000
Br 0.5000 0.5000 0.5000
N 0.5000 0.5000 0.0000
F 0.0000 0.5000 0.5000
F 0.5000 0.0000 0.5000

Results
Symmetry: P4/mmm, No. 123
D(E_F): 5.4 states/eV per cell
Mass density: 3.428 g/cm3
E: -19.4 eV per cell
M_tot: 2.2 μB/cell
Uncorrected formation energy: 2.203 eV/f.u.